Record 1
AlFe2Mo: relaxed, GGA-PBEsol.

Unit cell a=4.8344 b=4.8344 c=4.8344 alpha=144.88 beta=130.14 gamma=62.44
With the nearest neighbours (Å) after each atom.
Positions (direct):
Al 0.0000 0.0000 0.0000  6 Fe 2.51-2.52, 4 Mo 2.65-2.80
Fe 0.5093 0.5093 0.0000  2 Fe 2.48, 2 Mo 2.48, 4 Al 2.51
Fe 0.7515 0.2515 0.5000  2 Fe 2.48, 4 Mo 2.51, 2 Al 2.52
Mo 0.2669 0.7669 0.5000  6 Fe 2.48-2.51, 2 Al 2.65

## Properties
Crystal system   orthorhombic
Energy relative to the elements   -0.3 eV per formula unit
Electronic total energy   -34.13 eV per cell

=====

Record 2
LaRe2Se: relaxed, GGA-PBEsol.

Unit cell a=5.3115 b=5.3115 c=3.0456 alpha=90.00 beta=90.00 gamma=118.66
With the nearest neighbours (Å) after each atom.
Positions (direct):
La 0.0000 0.0000 0.0000  2 Se 2.71
Re 0.0000 0.5000 0.5000  2 Re 2.71
Re 0.5000 0.0000 0.5000  2 Re 2.71
Se 0.5000 0.5000 0.0000  2 La 2.71

## Properties
Crystal system   orthorhombic
Uncorrected formation energy   818 meV/atom
Electronic total energy   -32.59 eV per cell

=====

Record 3
Zr2ScNi: relaxed, GGA-PBEsol.

Unit cell a=4.6938 b=4.6938 c=4.6938 alpha=60.00 beta=60.00 gamma=60.00
With the nearest neighbours (Å) after each atom.
Positions (direct):
Zr 0.2500 0.2500 0.2500  4 Ni 2.87, 4 Sc 2.87
Zr 0.7500 0.7500 0.7500  4 Ni 2.87, 4 Sc 2.87
Sc 0.0000 0.0000 0.0000  8 Zr 2.87
Ni 0.5000 0.5000 0.5000  8 Zr 2.87

## Properties
Crystal system   cubic
Offset from the most stable computed form   26.6 kJ per mole of atoms
Energy relative to the elements   0.3 eV per formula unit
Electronic total energy   -30.66 eV per cell